(1)
Nd2MgGe4Pd3: relaxed, PBE.

abc: 4.2556 4.2556 10.9579
angles: 90.00 90.00 90.00
Last column: nearest neighbours and their distance in Å.
Sites, in units of the cell vectors:
1 Mg 0.5000 0.5000 0.5000  4 Ge 2.67
2 Ge 0.0000 0.5000 0.3529  3 Pd 2.48-2.67, 2 Mg 2.67
3 Ge 0.5000 0.5000 0.0000  4 Pd 2.54
4 Ge 0.0000 0.0000 0.0000  4 Pd 2.54
5 Ge 0.5000 0.0000 0.6471  3 Pd 2.48-2.67, 2 Mg 2.67
6 Nd 0.0000 0.5000 0.7557  8 Ge 3.24-3.42, 6 Pd 3.27-3.52, 2 Mg 3.52
7 Nd 0.5000 0.0000 0.2443  8 Ge 3.24-3.42, 6 Pd 3.27-3.52, 2 Mg 3.52
8 Pd 0.0000 0.5000 0.1267  5 Ge 2.48-2.54
9 Pd 0.0000 0.0000 0.5000  4 Ge 2.67
10 Pd 0.5000 0.0000 0.8733  5 Ge 2.48-2.54

Computed properties:
Calculated formation energy in eV/f.u.: -7.6
Crystal system: tetragonal
Symmetry: P-4m2 (115)

(2)
NdMgGePd: relaxed, PBE.

abc: 4.9193 4.9193 4.9193
angles: 60.00 60.00 60.00
Last column: nearest neighbours and their distance in Å.
Sites, in units of the cell vectors:
1 Nd 0.0000 0.0000 0.0000  4 Pd 3.01, 4 Ge 3.01
2 Pd 0.7500 0.7500 0.7500  4 Nd 3.01, 4 Mg 3.01
3 Mg 0.5000 0.5000 0.5000  4 Pd 3.01, 4 Ge 3.01
4 Ge 0.2500 0.2500 0.2500  4 Mg 3.01, 4 Nd 3.01

Computed properties:
Calculated formation energy in eV/f.u.: -2.5
Crystal system: cubic
Symmetry: F-43m (216)

(3)
NdMg2Ge2Pd2: relaxed, PBE.

abc: 4.3847 4.3847 8.5025
angles: 75.06 75.06 60.00
Last column: nearest neighbours and their distance in Å.
Sites, in units of the cell vectors:
1 Pd 0.4306 0.4306 0.7083  3 Ge 2.58, 3 Mg 2.72
2 Pd 0.5694 0.5694 0.2917  3 Ge 2.58, 3 Mg 2.72
3 Ge 0.2571 0.2571 0.2287  3 Pd 2.58
4 Ge 0.7429 0.7429 0.7713  3 Pd 2.58
5 Mg 0.1377 0.1377 0.5869  3 Pd 2.72, 3 Mg 2.90, 4 Ge 2.91-2.94
6 Mg 0.8623 0.8623 0.4131  3 Pd 2.72, 3 Mg 2.90, 4 Ge 2.91-2.94
7 Nd 0.0000 0.0000 0.0000  6 Ge 3.14, 2 Mg 3.35, 6 Pd 3.47

Computed properties:
Calculated formation energy in eV/f.u.: -4.8
Crystal system: trigonal
Symmetry: R-3m (166)

(4)
NdMgGe2Pd5: relaxed, PBE.

abc: 4.2578 4.2578 9.0694
angles: 90.00 90.00 90.00
Last column: nearest neighbours and their distance in Å.
Sites, in units of the cell vectors:
1 Mg 0.0000 0.0000 0.0000  8 Pd 3.21, 8 Ge 3.24
2 Pd 0.0000 0.5000 0.2656  2 Ge 2.45
3 Pd 0.5000 0.0000 0.2656  2 Ge 2.45
4 Pd 0.5000 0.0000 0.7344  2 Ge 2.45
5 Pd 0.5000 0.5000 0.5000  8 Pd 3.01, 4 Nd 3.01, 2 Ge 3.34
6 Pd 0.0000 0.5000 0.7344  2 Ge 2.45
7 Ge 0.5000 0.5000 0.1315  1 Ge 2.39, 4 Pd 2.45
8 Ge 0.5000 0.5000 0.8685  1 Ge 2.39, 4 Pd 2.45
9 Nd 0.0000 0.0000 0.5000  12 Pd 3.01

Computed properties:
Calculated formation energy in eV/f.u.: -5.4
Crystal system: tetragonal
Symmetry: P4/mmm (123)

(5)
PmNdMgGe: relaxed, PBE.

abc: 5.2736 5.2736 5.2736
angles: 60.00 60.00 60.00
Last column: nearest neighbours and their distance in Å.
Sites, in units of the cell vectors:
1 Ge 0.0000 0.0000 0.0000  4 Nd 3.23, 4 Pm 3.23
2 Mg 0.5000 0.5000 0.5000  4 Pm 3.23, 4 Nd 3.23
3 Pm 0.7500 0.7500 0.7500  4 Ge 3.23, 4 Mg 3.23
4 Nd 0.2500 0.2500 0.2500  4 Ge 3.23, 4 Mg 3.23

Computed properties:
Calculated formation energy in eV/f.u.: -1.5
Crystal system: cubic
Symmetry: F-43m (216)

(6)
PrNdMgGe: relaxed, PBE.

abc: 5.3121 5.3121 5.3121
angles: 60.00 60.00 60.00
Last column: nearest neighbours and their distance in Å.
Sites, in units of the cell vectors:
1 Mg 0.7500 0.7500 0.7500  4 Pr 3.25, 4 Nd 3.25
2 Ge 0.2500 0.2500 0.2500  4 Pr 3.25, 4 Nd 3.25
3 Pr 0.5000 0.5000 0.5000  4 Mg 3.25, 4 Ge 3.25
4 Nd 0.0000 0.0000 0.0000  4 Mg 3.25, 4 Ge 3.25

Computed properties:
Calculated formation energy in eV/f.u.: -1.5
Crystal system: cubic
Symmetry: F-43m (216)

Volume in Å³ per cell, matching the order above: 198.5, 84.2, 135.1, 164.4, 103.7, 106.0